Record 1
VASP calculation (PBE-GGA) on a relaxed structure of RbSrIn2O.

Output
SG	No. 123
E	-0.1720	Ry per atom
DOS(E_F)	6.155	states/eV per cell
formation energy (no corrections)	277	meV/atom

Geometry as CIF:
```
data_RbSrIn2O
_cell_length_a 6.299
_cell_length_b 4.707
_cell_length_c 6.299
_cell_angle_alpha 90.00
_cell_angle_beta 90.00
_cell_angle_gamma 90.00
_symmetry_space_group_name_H-M 'P 1'
_symmetry_Int_Tables_number 1
loop_
_symmetry_equiv_pos_as_xyz
'x,y,z'
loop_
_atom_site_label
_atom_site_type_symbol
_atom_site_fract_x
_atom_site_fract_y
_atom_site_fract_z
Sr1 Sr 0.500 0.500 0.500
O1 O 0.000 0.500 0.000
In1 In 0.500 0.000 0.000
In2 In 0.000 0.000 0.500
Rb1 Rb 0.000 0.000 0.000
```


Record 2
VASP calculation (PBE-GGA) on a relaxed structure of Cd3Ag5Hg.

Output
SG	No. 193
ΔE to the lowest computed polymorph	0.000	eV/atom
E	-0.1407	Ry per atom
DOS(E_F)	2.236	states/eV per cell

Geometry as CIF:
```
data_Cd3Ag5Hg
_cell_length_a 5.831
_cell_length_b 8.366
_cell_length_c 8.365
_cell_angle_alpha 120.00
_cell_angle_beta 90.00
_cell_angle_gamma 90.00
_symmetry_space_group_name_H-M 'P 1'
_symmetry_Int_Tables_number 1
loop_
_symmetry_equiv_pos_as_xyz
'x,y,z'
loop_
_atom_site_label
_atom_site_type_symbol
_atom_site_fract_x
_atom_site_fract_y
_atom_site_fract_z
Hg1 Hg 0.500 0.000 0.000
Hg2 Hg 0.000 0.000 0.000
Cd1 Cd 0.250 0.000 0.363
Cd2 Cd 0.750 0.363 0.363
Cd3 Cd 0.750 0.000 0.637
Cd4 Cd 0.750 0.637 0.000
Cd5 Cd 0.250 0.363 0.000
Cd6 Cd 0.250 0.637 0.637
Ag1 Ag 0.750 0.691 0.691
Ag2 Ag 0.250 0.691 0.000
Ag3 Ag 0.500 0.667 0.333
Ag4 Ag 0.750 0.000 0.309
Ag5 Ag 0.250 0.309 0.309
Ag6 Ag 0.000 0.333 0.667
Ag7 Ag 0.750 0.309 0.000
Ag8 Ag 0.500 0.333 0.667
Ag9 Ag 0.000 0.667 0.333
Ag10 Ag 0.250 0.000 0.691
```


Record 3
VASP calculation (PBE-GGA) on a relaxed structure of ZrSc2Br.

Output
SG	No. 122
ΔE to the lowest computed polymorph	0.472	eV/atom
E	-0.4196	Ry per atom
DOS(E_F)	13.986	states/eV per cell
formation energy (no corrections)	13	meV/atom

Geometry as CIF:
```
data_ZrSc2Br
_cell_length_a 8.167
_cell_length_b 8.167
_cell_length_c 6.441
_cell_angle_alpha 50.66
_cell_angle_beta 50.66
_cell_angle_gamma 90.00
_symmetry_space_group_name_H-M 'P 1'
_symmetry_Int_Tables_number 1
loop_
_symmetry_equiv_pos_as_xyz
'x,y,z'
loop_
_atom_site_label
_atom_site_type_symbol
_atom_site_fract_x
_atom_site_fract_y
_atom_site_fract_z
Sc1 Sc 0.875 0.809 0.750
Sc2 Sc 0.375 0.441 0.750
Sc3 Sc 0.559 0.125 0.250
Sc4 Sc 0.191 0.625 0.250
Br1 Br 0.250 0.750 0.500
Br2 Br 0.500 0.500 0.000
Zr1 Zr 0.750 0.250 0.500
Zr2 Zr 0.000 0.000 0.000
```